Compound: HfMgZn2Cd
Source: the Alexandria database
Functional: PBEsol
Structure: relaxed

Output
V = 109 Å³ per cell
DFT formation energy = 0.804 eV per atom
Final energy = -2.512 eV/atom
Symmetry = No. 123
Density of states at the Fermi level = 3.14 states/eV per cell
Total magnetization = 0.00 μB/f.u.

Cell and atoms, written as extended XYZ:
```
5
Lattice="-3.737 2.786 0.821 -2.905 -3.595 -1.021 0.024 -1.351 4.691" Properties=species:S:1:pos:R:3 pbc="T T T"
Cd 0.000 0.000 0.000
Mg 0.012 -0.676 2.345
Zn -1.869 1.393 0.411
Zn -1.452 -1.797 -0.510
Hf -3.309 -1.080 2.246
```